# 1
The following is a GGA-PBEsol calculation of crystalline CsSc3Cu2Te6 at its relaxed geometry, from Alexandria via LeMat-Bulk.

The structure in POSCAR format:
```
CsSc3Cu2Te6
1.0
8.803 -2.047 0.000
8.803 2.047 0.000
-4.010 0.000 9.359
Cs Sc Cu Te
1 3 2 6
direct
0.000 0.000 0.000
0.000 0.000 0.500
0.290 0.290 0.368
0.710 0.710 0.632
0.275 0.275 0.084
0.725 0.725 0.916
0.139 0.139 0.418
0.298 0.298 0.850
0.427 0.427 0.283
0.573 0.573 0.717
0.702 0.702 0.150
0.861 0.861 0.582
```

theoretical density: 5.714 Mg/m³
calculated total energy: -5.191 eV per atom



# 2
The following is a GGA-PBEsol calculation of crystalline CsCu3Se at its relaxed geometry, from Alexandria via LeMat-Bulk.

The structure in POSCAR format:
```
CsCu3Se
1.0
4.884 0.000 0.000
0.000 4.884 0.000
0.000 0.000 4.884
Cs Cu Se
1 3 1
direct
0.000 0.000 0.000
0.000 0.500 0.500
0.500 0.000 0.500
0.500 0.500 0.000
0.500 0.500 0.500
```

theoretical density: 5.738 Mg/m³
calculated total energy: -3.089 eV per atom